# 1
{"formula": "Ho2Pb2O5", "functional": "PBE", "state": "relaxed", "de_polymorph_ev_per_fu": 0.00, "dft_energy_ev_per_cell": -61.0, "volume_a3_per_fu": 150.9, "space_group": "P4/mmm, No. 123", "cell": [[-3.029, -7.454, -1.253], [2.348, -1.506, 3.279], [-3.233, 0.858, 2.709]], "species": ["O", "O", "Pb", "O", "Ho", "Pb", "O", "Ho", "O"], "frac_coords": [[0.500, 0.500, 0.500], [0.197, 0.000, 0.500], [0.000, 0.000, 0.000], [0.803, 0.000, 0.500], [0.244, 0.500, 0.500], [0.500, 0.000, 0.000], [0.803, 0.500, 0.000], [0.756, 0.500, 0.500], [0.197, 0.500, 0.000]]}

=====

# 2
{"formula": "AcReAu", "functional": "PBE", "state": "relaxed", "e_form_ev_per_atom": 1.28, "de_polymorph_ev_per_fu": 1.50, "dft_energy_ev_per_cell": -15.9, "volume_a3_per_fu": 89.3, "space_group": "F-43m, No. 216", "cell": [[4.384, -2.440, 0.068], [0.089, -4.984, 0.572], [1.292, -2.945, -3.851]], "species": ["Ac", "Re", "Au"], "frac_coords": [[0.000, 0.000, 0.000], [0.750, 0.750, 0.750], [0.250, 0.250, 0.250]]}

=====

# 3
{"formula": "TbHIBr", "functional": "PBE", "state": "relaxed", "dft_energy_ev_per_cell": -33.3, "volume_a3_per_fu": 104.2, "space_group": "P-3m1, No. 164", "cell": [[-2.343, 3.154, -0.257], [-0.542, -3.057, -2.421], [-9.741, -6.402, 10.262]], "species": ["Br", "Tb", "I", "Br", "H", "I", "Tb", "H"], "frac_coords": [[0.333, 0.667, 0.123], [0.000, 0.000, 0.756], [0.333, 0.667, 0.383], [0.667, 0.333, 0.877], [0.667, 0.333, 0.248], [0.667, 0.333, 0.617], [0.000, 0.000, 0.244], [0.333, 0.667, 0.752]]}

=====

# 4
{"formula": "Ag3Pt4PbO12", "functional": "PBE", "state": "relaxed", "dft_energy_ev_per_cell": -102.4, "volume_a3_per_fu": 236.1, "space_group": "Im-3, No. 204", "cell": [[4.900, 4.527, -0.994], [-5.147, 2.930, 3.225], [2.372, -5.101, 3.720]], "species": ["O", "O", "Pt", "Ag", "O", "O", "O", "O", "O", "O", "Ag", "Pt", "Pt", "Ag", "Pt", "O", "O", "O", "O", "Pb"], "frac_coords": [[0.883, 0.701, 0.181], [0.701, 0.181, 0.883], [0.000, 0.000, 0.500], [0.500, 0.000, 0.500], [0.299, 0.819, 0.117], [0.181, 0.883, 0.701], [0.480, 0.299, 0.181], [0.819, 0.520, 0.701], [0.819, 0.117, 0.299], [0.181, 0.480, 0.299], [0.000, 0.500, 0.500], [0.500, 0.000, 0.000], [0.000, 0.500, 0.000], [0.500, 0.500, 0.000], [0.500, 0.500, 0.500], [0.299, 0.181, 0.480], [0.520, 0.701, 0.819], [0.701, 0.819, 0.520], [0.117, 0.299, 0.819], [0.000, 0.000, 0.000]]}

=====

# 5
{"formula": "TmCuGeTeSe2", "functional": "PBE", "state": "relaxed", "dft_energy_ev_per_cell": -54.6, "volume_a3_per_fu": 144.5, "space_group": "Cmcm, No. 63", "cell": [[3.688, -0.396, -5.916], [-4.105, 3.882, 4.103], [8.804, 3.777, 5.236]], "species": ["Te", "Tm", "Se", "Se", "Cu", "Ge", "Cu", "Tm", "Te", "Se", "Ge", "Se"], "frac_coords": [[0.603, 0.397, 0.750], [0.500, 0.500, 0.500], [0.859, 0.141, 0.930], [0.859, 0.141, 0.570], [0.971, 0.029, 0.750], [0.303, 0.697, 0.750], [0.029, 0.971, 0.250], [0.500, 0.500, 0.000], [0.397, 0.603, 0.250], [0.141, 0.859, 0.430], [0.697, 0.303, 0.250], [0.141, 0.859, 0.070]]}

=====

# 6
{"formula": "ErTm2Ga3AgPd2", "functional": "PBE", "state": "relaxed", "dft_energy_ev_per_cell": -42.6, "volume_a3_per_fu": 178.2, "space_group": "Amm2, No. 38", "cell": [[3.640, 0.000, 0.000], [0.000, 6.514, 3.757], [0.000, -6.514, 3.757]], "species": ["Pd", "Pd", "Ga", "Tm", "Ga", "Tm", "Ga", "Ag", "Er"], "frac_coords": [[0.000, 0.668, 0.333], [0.000, 0.333, 0.668], [0.000, 0.000, 0.273], [0.500, 0.594, 0.000], [0.000, 0.728, 0.728], [0.500, 0.000, 0.594], [0.000, 0.273, 0.000], [0.500, 0.999, 0.999], [0.500, 0.406, 0.406]]}

=====

Question: Number 3 is which compound?
Answer: TbHIBr